Entry 1:
SrScCl2, optimized geometry, DFT PBE; energy = -4.1860 eV per atom; theoretical density = 2.94 g/cm³; relative energy among the computed polymorphs = 115 meV/atom; density of states at the Fermi level = 0.367 states/eV per atom; size of the total moment = 0.25 μB per atom; uncorrected formation energy = -1259 meV/atom
1.0
3.812 0.000 0.000
-1.906 3.302 0.000
0.000 0.000 27.409
Sr Sc Cl
3 3 6
Cartesian
0.000 0.000 0.000
0.000 2.201 18.273
1.906 1.101 9.136
0.000 0.000 13.705
0.000 2.201 4.568
1.906 1.101 22.841
0.000 0.000 11.156
0.000 0.000 16.253
0.000 2.201 2.020
0.000 2.201 7.117
1.906 1.101 20.293
1.906 1.101 25.389

=====

Entry 2:
Li2CaTa, optimized geometry, DFT PBE; energy = -3.7076 eV per atom; theoretical density = 4.33 g/cm³; relative energy among the computed polymorphs = 264 meV/atom; density of states at the Fermi level = 0.946 states/eV per atom; size of the total moment = 0.26 μB per atom; formation energy = 0.7129 eV/atom
1.0
2.933 0.000 0.000
0.000 5.503 0.000
0.000 0.000 5.576
Li Ca Ta
2 1 1
Cartesian
0.000 0.000 0.000
1.466 2.752 0.000
0.000 2.752 2.788
1.466 0.000 2.788

=====

Entry 3:
Pm3Sm4ErS8, optimized geometry, DFT PBE; energy = -6.4314 eV per atom; theoretical density = 6.69 g/cm³; density of states at the Fermi level = 0.555 states/eV per atom; size of the total moment = 0.00 μB per atom; uncorrected formation energy = -2012 meV/atom
1.0
4.004 2.312 6.531
-4.004 2.312 6.531
0.000 -4.623 6.531
Pm Sm Er S
3 4 1 8
Cartesian
-2.002 -1.156 6.531
-2.002 1.156 13.062
0.000 2.312 6.531
-4.004 0.000 9.796
-2.002 1.156 3.265
2.002 1.156 3.265
0.000 0.000 9.796
0.000 0.000 0.000
-2.051 -1.184 11.454
0.000 -2.368 8.139
-2.051 1.184 8.139
0.000 0.000 4.882
0.000 0.000 14.711
2.051 -1.184 11.454
0.000 2.368 11.454
2.051 1.184 8.139

=====

Entry 4:
TaVFe2, optimized geometry, DFT PBE; energy = -8.8621 eV per atom; theoretical density = 9.68 g/cm³; density of states at the Fermi level = 1.109 states/eV per atom; size of the total moment = 1.07 μB per atom; formation energy = 0.6120 eV/atom
1.0
3.584 0.000 0.000
0.000 3.584 0.000
0.000 0.000 18.360
Ta V Fe
4 4 8
Cartesian
0.000 0.000 0.000
0.000 1.792 4.590
1.792 0.000 13.770
1.792 1.792 9.180
0.000 0.000 9.180
0.000 1.792 13.770
1.792 0.000 4.590
1.792 1.792 0.000
0.856 0.896 11.475
0.896 2.648 16.065
0.896 2.727 6.885
0.936 0.896 2.295
2.648 2.688 2.295
2.688 0.856 6.885
2.688 0.936 16.065
2.727 2.688 11.475

=====

Entry 5:
Sr2CaInRh, optimized geometry, DFT PBE; energy = -3.2871 eV per atom; theoretical density = 4.04 g/cm³; density of states at the Fermi level = 0.982 states/eV per atom; size of the total moment = 0.00 μB per atom; formation energy = -0.1961 eV/atom
1.0
5.784 0.000 0.000
0.000 5.784 0.000
0.000 0.000 5.317
Sr Ca In Rh
2 1 1 1
Cartesian
0.000 2.892 0.000
2.892 0.000 0.000
0.000 0.000 2.658
2.892 2.892 2.658
2.892 2.892 0.000

=====

Entry 6:
AgSbS, optimized geometry, DFT PBE; energy = -3.6590 eV per atom; theoretical density = 6.17 g/cm³; density of states at the Fermi level = 0.399 states/eV per atom; size of the total moment = 0.00 μB per atom; uncorrected formation energy = 41 meV/atom
1.0
3.878 0.000 0.000
1.932 5.437 0.000
0.036 1.474 6.676
Ag Sb S
2 2 2
Cartesian
0.999 1.940 3.281
4.847 4.971 3.395
2.911 4.317 1.365
2.935 2.595 5.311
0.965 1.269 0.834
4.881 5.643 5.841

=====

Entry 7:
NaPuInIr, optimized geometry, DFT PBE; energy = -6.8884 eV per atom; theoretical density = 11.46 g/cm³; density of states at the Fermi level = 2.255 states/eV per atom; size of the total moment = 1.40 μB per atom; formation energy = -0.0758 eV/atom
1.0
6.929 0.000 0.000
0.000 6.929 0.000
0.000 0.000 6.929
Na Pu In Ir
4 4 4 4
Cartesian
0.000 0.000 0.000
0.000 3.464 3.464
3.464 0.000 3.464
3.464 3.464 0.000
1.732 1.732 1.732
1.732 5.197 5.197
5.197 1.732 5.197
5.197 5.197 1.732
1.732 1.732 5.197
1.732 5.197 1.732
5.197 1.732 1.732
5.197 5.197 5.197
0.000 0.000 3.464
0.000 3.464 0.000
3.464 0.000 0.000
3.464 3.464 3.464

=====

Entry 8:
Ca3Ti2O7, optimized geometry, DFT PBE; energy = -7.8137 eV per atom; theoretical density = 3.70 g/cm³; density of states at the Fermi level = 0.000 states/eV per atom; size of the total moment = 0.00 μB per atom; uncorrected formation energy = -3105 meV/atom
1.0
9.730 -2.732 0.000
9.730 2.732 0.000
0.000 0.000 5.541
Ca Ti O
6 4 14
Cartesian
6.079 1.412 2.314
9.730 1.385 2.770
13.381 1.412 2.314
6.079 -1.412 5.084
9.730 -1.385 0.000
13.381 -1.412 5.084
7.782 1.375 5.261
11.678 1.375 5.261
7.782 -1.375 2.491
11.678 -1.375 2.491
3.848 0.991 2.707
1.632 0.211 4.206
1.632 -0.211 1.436
9.730 0.964 5.262
7.524 0.227 3.753
3.848 -0.991 5.477
7.524 -0.227 0.983
11.936 0.227 3.753
15.612 0.991 2.707
11.936 -0.227 0.983
9.730 -0.964 2.492
17.829 0.211 4.206
17.829 -0.211 1.436
15.612 -0.991 5.477

=====

Entry 9:
AcAlZn4, optimized geometry, DFT PBE; energy = -2.2724 eV per atom; theoretical density = 6.61 g/cm³; relative energy among the computed polymorphs = 0 meV/atom; density of states at the Fermi level = 0.468 states/eV per atom; size of the total moment = 0.00 μB per atom; formation energy = -0.1146 eV/atom
1.0
-5.350 5.350 4.529
5.350 -5.350 4.529
5.350 5.350 -4.529
Ac Al Zn
4 4 16
Cartesian
0.000 0.000 1.816
5.350 0.000 2.264
0.000 5.350 2.264
0.000 0.000 7.242
5.350 2.794 0.000
2.794 5.350 0.000
2.555 0.000 4.529
0.000 2.555 4.529
3.002 1.201 0.000
7.697 1.201 0.000
3.334 3.334 -1.526
2.015 -2.015 3.003
1.201 3.002 0.000
4.149 -2.347 4.529
3.334 3.334 1.526
2.015 -2.015 6.055
-2.015 2.015 3.003
2.015 2.015 3.003
1.201 7.697 0.000
4.149 2.347 4.529
-2.015 2.015 6.055
2.015 2.015 6.055
-2.347 4.149 4.529
2.347 4.149 4.529

=====

Entry 10:
CrSbCl2, optimized geometry, DFT PBE; energy = -4.7620 eV per atom; theoretical density = 3.58 g/cm³; relative energy among the computed polymorphs = 0 meV/atom; density of states at the Fermi level = 1.145 states/eV per atom; size of the total moment = 0.98 μB per atom; uncorrected formation energy = -402 meV/atom
1.0
3.399 0.000 0.000
-1.700 2.944 0.000
0.000 0.000 33.986
Cr Sb Cl
3 3 6
Cartesian
0.000 0.000 0.000
0.000 1.963 22.657
1.700 0.981 11.329
0.000 0.000 16.993
0.000 1.963 5.664
1.700 0.981 28.322
0.000 0.000 12.820
0.000 0.000 21.165
0.000 1.963 1.492
0.000 1.963 9.837
1.700 0.981 24.149
1.700 0.981 32.494

=====

Entry 11:
TlSb2Se, optimized geometry, DFT PBE; energy = -3.4936 eV per atom; theoretical density = 7.95 g/cm³; relative energy among the computed polymorphs = 137 meV/atom; density of states at the Fermi level = 0.486 states/eV per atom; size of the total moment = 0.00 μB per atom; uncorrected formation energy = 30 meV/atom
1.0
3.667 0.000 0.000
0.000 5.634 0.000
0.000 0.000 10.649
Tl Sb Se
2 4 2
Cartesian
0.000 0.000 0.000
1.834 2.817 5.324
0.000 2.817 2.300
0.000 2.817 8.349
1.834 0.000 3.025
1.834 0.000 7.624
0.000 0.000 5.324
1.834 2.817 0.000

=====

Entry 12:
LaHgIr2, optimized geometry, DFT PBE; energy = -5.3593 eV per atom; theoretical density = 14.07 g/cm³; density of states at the Fermi level = 0.757 states/eV per atom; size of the total moment = 0.00 μB per atom; formation energy = 0.3785 eV/atom
1.0
3.455 0.000 0.000
-1.728 2.992 0.000
0.000 0.000 24.787
La Hg Ir
3 3 6
Cartesian
0.000 0.000 0.000
0.000 1.995 16.525
1.728 0.997 8.262
0.000 0.000 12.394
0.000 1.995 4.131
1.728 0.997 20.656
0.000 0.000 6.163
0.000 0.000 18.624
0.000 1.995 10.362
0.000 1.995 22.687
1.728 0.997 2.100
1.728 0.997 14.425

=====

Entry 13:
Ca3GaAs2Pd9, optimized geometry, DFT PBE; energy = -4.8834 eV per atom; theoretical density = 6.66 g/cm³; density of states at the Fermi level = 0.521 states/eV per atom; size of the total moment = 0.00 μB per atom; formation energy = -0.5457 eV/atom
1.0
6.447 0.000 0.000
-3.223 5.583 0.000
0.000 0.000 8.983
Ca Ga As Pd
3 1 2 9
Cartesian
0.000 0.000 0.000
0.000 3.722 6.298
3.223 1.861 2.685
0.000 0.000 4.491
0.000 3.722 1.598
3.223 1.861 7.385
-1.612 2.792 0.000
0.000 1.572 2.546
-1.862 4.797 2.546
1.361 0.786 6.437
3.223 0.000 0.000
1.612 2.792 0.000
1.862 4.797 2.546
5.086 0.786 6.437
3.223 4.011 6.437

=====

Entry 14:
MnSiPt, optimized geometry, DFT PBE; energy = -7.2121 eV per atom; theoretical density = 11.13 g/cm³; density of states at the Fermi level = 0.526 states/eV per atom; size of the total moment = 1.06 μB per atom; uncorrected formation energy = -334 meV/atom
1.0
4.428 0.000 0.000
0.000 4.108 0.000
-2.210 0.000 4.564
Mn Si Pt
2 2 2
Cartesian
-0.002 1.027 0.757
2.219 3.081 3.806
0.002 3.081 2.132
2.215 1.027 2.431
0.003 1.027 3.548
2.215 3.081 1.016

=====

Entry 15:
CrCd2Re, optimized geometry, DFT PBE; energy = -5.1760 eV per atom; theoretical density = 10.79 g/cm³; relative energy among the computed polymorphs = 507 meV/atom; density of states at the Fermi level = 0.727 states/eV per atom; size of the total moment = 1.15 μB per atom; formation energy = 0.7994 eV/atom
1.0
4.911 0.000 0.000
0.000 4.911 0.000
0.000 0.000 2.956
Cr Cd Re
1 2 1
Cartesian
0.000 0.000 0.000
0.000 2.455 1.478
2.455 0.000 1.478
2.455 2.455 0.000

=====

Entry 16:
PaCrPt, optimized geometry, DFT PBE; energy = -8.4109 eV per atom; theoretical density = 14.08 g/cm³; density of states at the Fermi level = 0.823 states/eV per atom; size of the total moment = 0.00 μB per atom; formation energy = -0.0242 eV/atom
1.0
0.000 5.600 4.144
4.861 0.000 4.144
4.861 5.600 0.000
Pa Cr Pt
4 4 4
Cartesian
5.742 2.112 4.144
6.410 4.913 6.216
3.980 9.088 4.144
3.311 6.288 6.216
8.774 6.251 4.916
3.377 3.451 2.845
1.483 2.150 2.845
5.807 10.550 4.916
5.995 4.809 3.415
3.726 6.391 3.415
3.565 3.591 5.487
6.156 7.609 5.487

=====

Entry 17:
ZnCo2Ir, optimized geometry, DFT PBE; energy = -6.0686 eV per atom; theoretical density = 12.47 g/cm³; density of states at the Fermi level = 1.759 states/eV per atom; size of the total moment = 0.67 μB per atom; formation energy = 0.0181 eV/atom
1.0
5.219 0.000 0.000
0.000 7.258 0.000
0.000 0.000 2.641
Zn Co Ir
2 4 2
Cartesian
0.000 0.000 0.000
2.610 3.629 0.000
1.305 1.814 1.320
1.305 5.443 1.320
3.914 1.814 1.320
3.914 5.443 1.320
0.000 3.629 0.000
2.610 0.000 0.000